15
Lattice="5.688 0.000 0.000 -2.844 4.926 0.000 0.000 0.000 11.514" Properties=species:S:1:pos:R:3 comment="Pm3Al2Pd9Au, optimized geometry, DFT PBE" e_form_ev_per_fu=-8.44 pbc="T T T"
Pm 0.000 0.000 0.000
Pm 0.000 3.284 6.798
Pm 2.844 1.642 4.716
Al 0.000 3.284 1.845
Al 2.844 1.642 9.669
Pd -1.422 2.463 0.000
Pd 0.000 1.633 3.620
Pd -1.430 4.110 3.620
Pd 1.414 0.816 7.894
Pd 2.844 0.000 0.000
Pd 1.422 2.463 0.000
Pd 1.430 4.110 3.620
Pd 4.274 0.816 7.894
Pd 2.844 3.293 7.894
Au 0.000 0.000 5.757

---

4
Lattice="3.952 0.000 0.000 0.000 2.628 5.131 0.000 -2.628 5.131" Properties=species:S:1:pos:R:3 comment="MnSbTe2, optimized geometry, DFT PBE" formation_energy_uncorrected_mev_per_atom=-2 pbc="T T T"
Mn 0.000 0.000 0.000
Sb 1.976 0.000 1.838
Te 0.000 0.000 5.139
Te 1.976 0.000 8.420

---

4
Lattice="0.000 3.356 3.356 3.356 0.000 3.356 3.356 3.356 0.000" Properties=species:S:1:pos:R:3 comment="LiPuTcSn, optimized geometry, DFT PBE" e_form_ev_per_fu=-0.16 pbc="T T T"
Li 0.000 0.000 0.000
Pu 1.678 1.678 1.678
Tc 3.356 3.356 3.356
Sn 5.033 5.033 5.033

---

4
Lattice="2.225 1.285 4.509 -2.225 1.285 4.509 0.000 -2.570 4.509" Properties=species:S:1:pos:R:3 comment="TmTiPt2, optimized geometry, DFT PBE" de_polymorph_mev_per_atom=5 e_form_ev_per_fu=-4.08 pbc="T T T"
Tm 0.000 0.000 0.000
Ti 0.000 0.000 6.763
Pt 0.000 0.000 2.925
Pt 0.000 0.000 10.602

---

20
Lattice="5.045 0.000 0.000 0.000 5.045 0.000 0.000 0.000 25.112" Properties=species:S:1:pos:R:3 comment="LaPm4Ho15, optimized geometry, DFT PBE" e_form_ev_per_fu=0.45 pbc="T T T"
La 0.000 0.000 0.000
Pm 0.000 0.000 5.036
Pm 0.000 0.000 10.056
Pm 0.000 0.000 15.056
Pm 0.000 0.000 20.076
Ho 0.000 2.522 2.551
Ho 0.000 2.522 7.552
Ho 0.000 2.522 12.556
Ho 0.000 2.522 17.560
Ho 0.000 2.522 22.561
Ho 2.522 0.000 2.551
Ho 2.522 0.000 7.552
Ho 2.522 0.000 12.556
Ho 2.522 0.000 17.560
Ho 2.522 0.000 22.561
Ho 2.522 2.522 0.000
Ho 2.522 2.522 5.054
Ho 2.522 2.522 10.053
Ho 2.522 2.522 15.059
Ho 2.522 2.522 20.058

---

4
Lattice="2.758 -3.903 0.000 2.758 3.903 0.000 0.000 0.000 3.102" Properties=species:S:1:pos:R:3 comment="TaCu2Sb, optimized geometry, DFT PBE" formation_energy_uncorrected_mev_per_atom=268 pbc="T T T"
Ta 0.000 0.000 0.000
Cu 1.379 1.951 1.551
Cu 1.379 -1.951 1.551
Sb 2.758 0.000 0.000

---

10
Lattice="3.227 -4.762 0.000 3.227 4.762 0.000 0.000 0.000 5.423" Properties=species:S:1:pos:R:3 comment="ThTc3B, optimized geometry, DFT PBE" de_polymorph_mev_per_atom=395 e_form_ev_per_fu=1.56 pbc="T T T"
Th 3.227 4.140 4.067
Th 3.227 -4.140 1.356
Tc 1.979 2.678 1.356
Tc 4.474 2.678 1.356
Tc 3.227 0.000 0.000
Tc 3.227 0.000 2.711
Tc 1.979 -2.678 4.067
Tc 4.474 -2.678 4.067
B 3.227 1.596 4.067
B 3.227 -1.596 1.356

---

4
Lattice="2.993 0.000 0.000 0.000 5.057 0.000 0.000 0.000 5.586" Properties=species:S:1:pos:R:3 comment="CaRe2Br, optimized geometry, DFT PBE" de_polymorph_mev_per_atom=905 formation_energy_uncorrected_mev_per_atom=958 pbc="T T T"
Ca 0.000 0.000 0.000
Re 1.497 2.528 1.126
Re 1.497 2.528 4.461
Br 0.000 0.000 2.793

---

6
Lattice="2.982 0.000 0.000 0.000 2.982 0.000 0.000 0.000 9.115" Properties=species:S:1:pos:R:3 comment="Al3CuRh2, optimized geometry, DFT PBE" de_polymorph_mev_per_atom=0 e_form_ev_per_fu=-4.82 pbc="T T T"
Al 0.000 0.000 0.000
Al 0.000 0.000 3.053
Al 0.000 0.000 6.063
Cu 1.491 1.491 4.558
Rh 1.491 1.491 1.539
Rh 1.491 1.491 7.576

---

4
Lattice="2.779 0.000 0.000 0.000 4.174 0.000 0.000 0.000 7.226" Properties=species:S:1:pos:R:3 comment="SrLiW2, optimized geometry, DFT PBE" de_polymorph_mev_per_atom=171 e_form_ev_per_fu=3.20 pbc="T T T"
Sr 0.000 0.000 0.000
Li 1.389 2.087 4.974
W 0.000 0.000 3.479
W 1.389 2.087 2.268

---

12
Lattice="-3.077 6.626 3.195 3.077 -6.626 3.195 3.077 6.626 -3.195" Properties=species:S:1:pos:R:3 comment="Na2CuAgGe2, optimized geometry, DFT PBE" e_form_ev_per_fu=-0.06 pbc="T T T"
Na 1.486 2.243 0.000
Na 1.486 -2.243 3.195
Na 1.590 8.868 0.000
Na 1.590 4.383 3.195
Cu 3.077 0.000 1.598
Cu 0.000 6.626 1.598
Ag 0.000 0.000 1.598
Ag 0.000 0.000 4.793
Ge 4.421 1.277 0.000
Ge 1.344 5.349 0.000
Ge 1.733 1.277 3.195
Ge -1.344 5.349 3.195

---

20
Lattice="8.253 0.000 0.000 0.000 9.321 0.000 -7.369 0.000 12.079" Properties=species:S:1:pos:R:3 comment="KNpTl2I6, optimized geometry, DFT PBE" formation_energy_uncorrected_mev_per_atom=-906 pbc="T T T"
K 0.000 0.000 0.000
K -3.684 4.661 6.039
Np 0.442 0.000 6.039
Np 4.127 4.661 0.000
Tl -3.730 0.811 8.697
Tl -0.046 3.849 2.658
Tl 0.930 5.472 9.421
Tl 4.614 8.510 3.382
I -2.171 1.589 5.456
I -5.855 3.071 11.496
I -0.924 6.703 5.008
I -4.609 7.279 11.048
I 1.460 0.679 3.173
I -2.224 3.981 9.212
I 3.108 5.340 2.866
I -0.576 8.642 8.905
I 5.493 2.043 1.031
I 1.808 2.618 7.070
I 6.739 6.250 0.583
I 3.055 7.732 6.622